# 1
# GaAg2Sn2

A geometry-optimized GaAg2Sn2 structure (PBE, OQMD).

Summary:
The value obtained for the volume is 118.75 Å³/cell. As for the density: 7.31 Mg/m³. The calculation puts the energy relative to the lowest polymorph listed for this composition at 0 meV per atom.

Cell: 7.1184 7.1184 7.1184 Å, 144.89 144.89 50.50°
Fractional positions:
Ag1 0.7500 0.2500 0.5000
Ag2 0.2500 0.7500 0.5000
Ga1 0.0000 0.0000 0.0000
Sn1 0.3913 0.3913 0.0000
Sn2 0.6087 0.6087 0.0000

=====

# 2
# Y2CoAuC

A geometry-optimized Y2CoAuC structure (PBE, OQMD).

Summary:
The value obtained for the volume is 91.68 Å³/cell. As for the density: 8.07 Mg/m³. The total energy is -35.40 eV per cell.

Cell: 5.0180 5.0180 3.6412 Å, 90.00 90.00 90.00°
Fractional positions:
Au1 0.5000 0.5000 0.5000
C1 0.0000 0.0000 0.0000
Y1 0.5000 0.0000 0.0000
Y2 0.0000 0.5000 0.0000
Co1 0.0000 0.0000 0.5000

=====

# 3
# Dy8Pd

A geometry-optimized Dy8Pd structure (PBE, OQMD).

Summary:
The value obtained for the volume is 263.53 Å³/cell. As for the formation energy: -0.21 eV per atom. As for the density: 8.86 Mg/m³.

Cell: 9.1182 9.1182 3.6600 Å, 90.00 90.00 120.00°
Fractional positions:
Dy1 0.0000 0.6118 0.0000
Dy2 0.2495 0.0000 0.5000
Dy3 0.0000 0.2495 0.5000
Dy4 0.7505 0.7505 0.5000
Dy5 0.6118 0.0000 0.0000
Dy6 0.6667 0.3333 0.5000
Dy7 0.3333 0.6667 0.5000
Dy8 0.3882 0.3882 0.0000
Pd1 0.0000 0.0000 0.0000

=====

# 4
# SmHoTl2

A geometry-optimized SmHoTl2 structure (PBE, OQMD).

Summary:
The value obtained for the volume is 110.31 Å³/cell. As for the density: 10.90 Mg/m³. The total energy is -15.44 eV per cell.

Cell: 3.8070 3.8070 7.6115 Å, 90.00 90.00 90.00°
Fractional positions:
Sm1 0.0000 0.0000 0.5000
Tl1 0.5000 0.5000 0.7585
Tl2 0.5000 0.5000 0.2415
Ho1 0.0000 0.0000 0.0000

=====

# 5
# RbCuNi

A geometry-optimized RbCuNi structure (PBE, OQMD).

Summary:
The value obtained for the volume is 94.71 Å³/cell. As for the density: 3.64 Mg/m³. The calculation puts the energy relative to the lowest polymorph listed for this composition at 529 meV per atom.

Cell: 5.1164 5.1164 5.1164 Å, 60.00 60.00 60.00°
Fractional positions:
Cu1 0.2500 0.2500 0.2500
Ni1 0.7500 0.7500 0.7500
Rb1 0.0000 0.0000 0.0000

=====

# 6
# Co7Bi

A geometry-optimized Co7Bi structure (PBE, OQMD).

Summary:
The value obtained for the volume is 257.00 Å³/cell. As for the density: 8.03 Mg/m³. The total energy is -103.69 eV per cell.

Cell: 2.8461 2.8461 31.7280 Å, 90.00 90.00 90.00°
Site moments in Bohr magnetons follow the coordinates.
Fractional positions:
Bi1 0.0000 0.5000 0.1650  0.02
Bi2 0.5000 0.0000 0.8350  0.02
Co1 0.0000 0.5000 0.7727  1.41
Co2 0.5000 0.0000 0.3134  1.68
Co3 0.5000 0.0000 0.7282  1.80
Co4 0.0000 0.5000 0.4375  1.69
Co5 0.5000 0.0000 0.2273  1.41
Co6 0.5000 0.0000 0.3953  1.71
Co7 0.0000 0.5000 0.3549  1.72
Co8 0.0000 0.5000 0.5194  1.71
Co9 0.5000 0.0000 0.6451  1.72
Co10 0.5000 0.0000 0.4806  1.71
Co11 0.0000 0.5000 0.6047  1.71
Co12 0.0000 0.5000 0.6866  1.68
Co13 0.0000 0.5000 0.2718  1.80
Co14 0.5000 0.0000 0.5625  1.69

=====

# 7
# NaNdCdTe3

A geometry-optimized NaNdCdTe3 structure (PBE, OQMD).

Summary:
The value obtained for the volume is 818.60 Å³/cell. As for the density: 5.38 Mg/m³. The calculation puts the energy relative to the lowest polymorph listed for this composition at 4 meV per atom.

Cell: 14.9456 4.4957 12.1830 Å, 90.00 90.00 90.00°
Fractional positions:
Te1 0.3871 0.2500 0.9286
Te2 0.1129 0.7500 0.4286
Te3 0.6096 0.2500 0.3840
Te4 0.1096 0.2500 0.1160
Te5 0.8871 0.2500 0.5714
Te6 0.6507 0.2500 0.7534
Te7 0.6129 0.7500 0.0714
Te8 0.8493 0.7500 0.2534
Te9 0.3493 0.7500 0.2466
Te10 0.8904 0.7500 0.8840
Te11 0.1507 0.2500 0.7466
Te12 0.3904 0.7500 0.6160
Nd1 0.4821 0.2500 0.1579
Nd2 0.5179 0.7500 0.8421
Nd3 0.9821 0.2500 0.3421
Nd4 0.0179 0.7500 0.6579
Cd1 0.5114 0.2500 0.5974
Cd2 0.9886 0.7500 0.0974
Cd3 0.0114 0.2500 0.9026
Cd4 0.4886 0.7500 0.4026
Na1 0.7364 0.7500 0.5822
Na2 0.2364 0.7500 0.9178
Na3 0.2636 0.2500 0.4178
Na4 0.7636 0.2500 0.0822

=====

# 8
# ScZnFeGe

A geometry-optimized ScZnFeGe structure (PBE, OQMD).

Summary:
The value obtained for the volume is 58.43 Å³/cell. As for the density: 6.79 Mg/m³. The calculation puts the energy relative to the lowest polymorph listed for this composition at 0 meV per atom.

Cell: 4.3557 4.3557 4.3557 Å, 60.00 60.00 60.00°
Site moments in Bohr magnetons follow the coordinates.
Fractional positions:
Zn1 0.5000 0.5000 0.5000  -0.02
Sc1 0.2500 0.2500 0.2500  -0.07
Ge1 0.0000 0.0000 0.0000  -0.01
Fe1 0.7500 0.7500 0.7500  0.70

=====

# 9
# Cs2AsAuBr6

A geometry-optimized Cs2AsAuBr6 structure (PBE, OQMD).

Summary:
The value obtained for the volume is 330.84 Å³/cell. As for the density: 5.11 Mg/m³. The total energy is -28.70 eV per cell.

Cell: 7.7633 7.7633 7.7633 Å, 60.00 60.00 60.00°
Fractional positions:
Br1 0.2452 0.7548 0.2452
Br2 0.7548 0.7548 0.2452
Br3 0.7548 0.2452 0.7548
Br4 0.7548 0.2452 0.2452
Br5 0.2452 0.2452 0.7548
Br6 0.2452 0.7548 0.7548
Cs1 0.7500 0.7500 0.7500
Cs2 0.2500 0.2500 0.2500
Au1 0.5000 0.5000 0.5000
As1 0.0000 0.0000 0.0000

=====

# 10
# Nd2YZn4Si4

A geometry-optimized Nd2YZn4Si4 structure (PBE, OQMD).

Summary:
The value obtained for the volume is 210.55 Å³/cell. As for the density: 5.93 Mg/m³. The total energy is -48.94 eV per cell.

Cell: 12.7000 12.7000 12.7000 Å, 161.40 161.20 26.57°
Fractional positions:
Zn1 0.7497 0.7497 0.0000
Zn2 0.2503 0.2503 0.0000
Zn3 0.0933 0.5933 0.5000
Zn4 0.9067 0.4067 0.5000
Si1 0.8098 0.3098 0.5000
Si2 0.4530 0.4530 0.0000
Si3 0.5470 0.5470 0.0000
Si4 0.1902 0.6902 0.5000
Nd1 0.6439 0.1439 0.5000
Nd2 0.3561 0.8561 0.5000
Y1 0.0000 0.0000 0.0000

=====

# 11
# HoErSi4Os2

A geometry-optimized HoErSi4Os2 structure (PBE, OQMD).

Summary:
The value obtained for the volume is 142.84 Å³/cell. As for the density: 9.59 Mg/m³. The total energy is -59.04 eV per cell.

Cell: 4.4059 4.0806 8.1170 Å, 90.00 101.82 90.00°
Fractional positions:
Si1 0.6628 0.5000 0.9941
Si2 0.0363 0.5000 0.5885
Si3 0.9637 0.0000 0.4115
Si4 0.3366 0.0000 0.0054
Os1 0.1137 0.5000 0.8831
Os2 0.8856 0.0000 0.1165
Er1 0.5906 0.0000 0.7033
Ho1 0.4108 0.5000 0.2976

=====

# 12
# BeCoAsAu

A geometry-optimized BeCoAsAu structure (PBE, OQMD).

Summary:
The value obtained for the volume is 54.61 Å³/cell. As for the density: 10.33 Mg/m³. The calculation puts the energy relative to the lowest polymorph listed for this composition at 0 meV per atom.

Cell: 4.2585 4.2585 4.2585 Å, 60.00 60.00 60.00°
Site moments in Bohr magnetons follow the coordinates.
Fractional positions:
As1 0.0000 0.0000 0.0000  0.00
Au1 0.5000 0.5000 0.5000  0.00
Co1 0.7500 0.7500 0.7500  0.06
Be1 0.2500 0.2500 0.2500  0.00

=====

# 13
# HoAsAuO

A geometry-optimized HoAsAuO structure (PBE, OQMD).

Summary:
The value obtained for the volume is 151.23 Å³/cell. As for the density: 9.94 Mg/m³. The calculation puts the energy relative to the lowest polymorph listed for this composition at 368 meV per atom.

Cell: 4.9227 5.3724 5.7182 Å, 90.00 90.00 90.00°
Fractional positions:
As1 0.0000 0.5642 0.8124
As2 0.0000 0.4358 0.3124
O1 0.5000 0.0650 0.9038
O2 0.5000 0.9350 0.4038
Au1 0.0000 0.0839 0.9442
Au2 0.0000 0.9161 0.4442
Ho1 0.5000 0.2639 0.5936
Ho2 0.5000 0.7361 0.0936

=====

# 14
# HfAs2O

A geometry-optimized HfAs2O structure (PBE, OQMD).

Summary:
The value obtained for the volume is 171.92 Å³/cell. As for the density: 6.65 Mg/m³. The total energy is -58.18 eV per cell.

Cell: 4.0126 5.7232 7.4863 Å, 90.00 90.00 90.00°
Fractional positions:
As1 0.5000 0.6868 0.5833
As2 0.5000 0.6805 0.9170
As3 0.5000 0.3195 0.4170
As4 0.5000 0.3132 0.0833
Hf1 0.0000 0.0041 0.5015
Hf2 0.0000 0.9959 0.0015
O1 0.0000 0.8866 0.2523
O2 0.0000 0.1134 0.7523

=====

# 15
# ZnGe

A geometry-optimized ZnGe structure (PBE, OQMD).

Summary:
The value obtained for the volume is 281.40 Å³/cell. As for the density: 6.52 Mg/m³. The total energy is -43.51 eV per cell.

Cell: 5.0392 11.4399 4.8813 Å, 90.00 90.00 90.00°
Fractional positions:
Zn1 0.9836 0.9942 0.0000
Zn2 0.5085 0.6260 0.0000
Zn3 0.3497 0.2558 0.5000
Zn4 0.9836 0.7558 0.0000
Zn5 0.8248 0.6240 0.5000
Zn6 0.3497 0.4942 0.5000
Zn7 0.5085 0.1240 0.0000
Zn8 0.8248 0.1260 0.5000
Ge1 0.8657 0.3750 0.5000
Ge2 0.0105 0.2319 0.0000
Ge3 0.0105 0.5181 0.0000
Ge4 0.8051 0.8750 0.5000
Ge5 0.5282 0.3750 0.0000
Ge6 0.3228 0.7319 0.5000
Ge7 0.3228 0.0181 0.5000
Ge8 0.4676 0.8750 0.0000

=====

# 16
# Ta3BOs

A geometry-optimized Ta3BOs structure (PBE, OQMD).

Summary:
The value obtained for the volume is 157.23 Å³/cell. As for the density: 15.71 Mg/m³. The total energy is -107.51 eV per cell.

Cell: 5.7906 5.7906 6.4713 Å, 90.00 90.00 133.57°
Fractional positions:
Ta1 0.3555 0.6445 0.4847
Ta2 0.3555 0.6445 0.0153
Ta3 0.9083 0.0917 0.7500
Ta4 0.6445 0.3555 0.9847
Ta5 0.6445 0.3555 0.5153
Ta6 0.0917 0.9083 0.2500
B1 0.5111 0.4888 0.2500
B2 0.4888 0.5111 0.7500
Os1 0.1652 0.8348 0.7500
Os2 0.8348 0.1652 0.2500

=====

# 17
# LaPrGa2Br2

A geometry-optimized LaPrGa2Br2 structure (PBE, OQMD).

Summary:
The value obtained for the volume is 186.39 Å³/cell. As for the density: 5.16 Mg/m³. The total energy is -26.87 eV per cell.

Cell: 4.2904 4.2904 11.6925 Å, 90.00 90.00 120.00°
Fractional positions:
Pr1 0.0000 0.0000 0.3162
Br1 0.3333 0.6667 0.1597
Br2 0.6667 0.3333 0.8407
Ga1 0.6667 0.3333 0.4737
Ga2 0.3333 0.6667 0.5260
La1 0.0000 0.0000 0.6837

=====

# 18
# Nd2AlInPd4

A geometry-optimized Nd2AlInPd4 structure (PBE, OQMD).

Summary:
The value obtained for the volume is 166.82 Å³/cell. As for the density: 8.52 Mg/m³. The total energy is -43.26 eV per cell.

Cell: 4.5568 4.5568 9.2766 Å, 90.00 90.00 120.00°
Fractional positions:
Pd1 0.6667 0.3333 0.0847
Pd2 0.3333 0.6667 0.9153
Pd3 0.3333 0.6667 0.5742
Pd4 0.6667 0.3333 0.4258
Nd1 0.6667 0.3333 0.7470
Nd2 0.3333 0.6667 0.2530
Al1 0.0000 0.0000 0.5000
In1 0.0000 0.0000 0.0000

=====

# 19
# AsPdNO

A geometry-optimized AsPdNO structure (PBE, OQMD).

Summary:
The value obtained for the volume is 101.23 Å³/cell. As for the density: 6.93 Mg/m³. The calculation puts the energy relative to the lowest polymorph listed for this composition at 437 meV per atom.

Cell: 3.9869 3.9869 6.3685 Å, 90.00 90.00 90.00°
Fractional positions:
As1 0.2500 0.2500 0.1413
As2 0.7500 0.7500 0.8587
Pd1 0.7500 0.2500 0.5000
Pd2 0.2500 0.7500 0.5000
N1 0.2500 0.2500 0.6050
N2 0.7500 0.7500 0.3950
O1 0.7500 0.2500 0.0000
O2 0.2500 0.7500 0.0000

=====

# 20
# DyLuPO

A geometry-optimized DyLuPO structure (PBE, OQMD).

Summary:
The value obtained for the volume is 153.55 Å³/cell. As for the density: 8.31 Mg/m³. The calculation puts the energy relative to the lowest polymorph listed for this composition at 76 meV per atom.

Cell: 4.2580 4.2580 8.4692 Å, 90.00 90.00 90.00°
Fractional positions:
O1 0.2500 0.7500 0.0000
O2 0.7500 0.2500 0.0000
P1 0.2500 0.2500 0.6914
P2 0.7500 0.7500 0.3086
Dy1 0.7500 0.7500 0.8929
Dy2 0.2500 0.2500 0.1071
Lu1 0.2500 0.7500 0.5000
Lu2 0.7500 0.2500 0.5000